[1]
# SrLuTlIn

Crystalline SrLuTlIn at its relaxed geometry (GGA-PBE, the Alexandria database).

Structure (POSCAR):
```
SrLuTlIn
1.0
-1.2128 -3.1256 4.3665
4.0360 -1.9449 3.1991
0.6830 1.9924 5.0862
Sr Tl Lu In
1 1 1 1
direct
0.7500 0.7500 0.7500 Sr
0.0000 0.0000 0.0000 Tl
0.2500 0.2500 0.2500 Lu
0.5000 0.5000 0.5000 In
```

## Properties
Volume, Å³ per cell: 118
Energy of formation, kJ/mol of formula units: -123

[2]
# TbLuIn

Crystalline TbLuIn at its relaxed geometry (GGA-PBE, the Alexandria database).

Structure (POSCAR):
```
TbLuIn
1.0
-0.8237 -2.7948 -2.1510
4.7818 -1.9062 0.6456
-3.8028 -1.3793 3.2484
Lu Tb In
1 1 1
direct
0.9177 0.0000 0.0000 Lu
0.3659 0.3333 0.6667 Tb
0.7164 0.6667 0.3333 In
```

## Properties
Volume, Å³ per cell: 84
Energy relative to the lowest polymorph listed for this composition, eV/atom: 0.088
Energy of formation, kJ/mol of formula units: -64

[3]
# TbLuIn

Crystalline TbLuIn at its relaxed geometry (GGA-PBE, the Alexandria database).

Structure (POSCAR):
```
TbLuIn
1.0
3.5126 0.0000 0.0000
0.0000 3.5126 0.0000
-1.7563 -1.7563 6.7980
Lu Tb In
1 1 1
direct
0.6060 0.6060 0.2119 Lu
0.2917 0.2917 0.5835 Tb
0.9523 0.9523 0.9046 In
```

## Properties
Volume, Å³ per cell: 84
Energy relative to the lowest polymorph listed for this composition, eV/atom: 0.000
Energy of formation, kJ/mol of formula units: -89

[4]
# TbLuIn4

Crystalline TbLuIn4 at its relaxed geometry (GGA-PBE, the Alexandria database).

Structure (POSCAR):
```
TbLuIn4
1.0
-3.8630 4.4598 0.9444
-3.3456 2.0585 -4.5026
-5.8781 -1.0702 -0.0865
Lu Tb In
1 1 4
direct
0.2500 0.2500 0.2500 Lu
0.0000 0.0000 0.0000 Tb
0.6250 0.6250 0.1251 In
0.6250 0.1251 0.6250 In
0.6250 0.6250 0.6250 In
0.1251 0.6250 0.6250 In
```

## Properties
Volume, Å³ per cell: 151
Energy of formation, kJ/mol of formula units: -160

[5]
# TbLuInTc

Crystalline TbLuInTc at its relaxed geometry (GGA-PBE, the Alexandria database).

Structure (POSCAR):
```
TbLuInTc
1.0
-2.2195 -2.5848 3.7062
2.2977 -4.0081 1.9997
1.8401 0.2284 4.6802
Lu Tb Tc In
1 1 1 1
direct
0.7500 0.7500 0.7500 Lu
0.2500 0.2500 0.2500 Tb
0.5000 0.5000 0.5000 Tc
0.0000 0.0000 0.0000 In
```

## Properties
Volume, Å³ per cell: 90
Energy of formation, kJ/mol of formula units: -64

[6]
# TbLuTlIn

Crystalline TbLuTlIn at its relaxed geometry (GGA-PBE, the Alexandria database).

Structure (POSCAR):
```
TbLuTlIn
1.0
5.3081 0.0000 0.0000
2.6540 4.5969 0.0000
2.6540 1.5323 4.3340
Tl Lu Tb In
1 1 1 1
direct
0.0000 0.0000 0.0000 Tl
0.7500 0.7500 0.7500 Lu
0.2500 0.2500 0.2500 Tb
0.5000 0.5000 0.5000 In
```

## Properties
Volume, Å³ per cell: 106
Energy of formation, kJ/mol of formula units: -142

[7]
# TbLuZnIn

Crystalline TbLuZnIn at its relaxed geometry (GGA-PBE, the Alexandria database).

Structure (POSCAR):
```
TbLuZnIn
1.0
5.1573 0.0000 0.0000
2.5787 4.4664 0.0000
2.5787 1.4888 4.2109
Zn Lu Tb In
1 1 1 1
direct
0.0000 0.0000 0.0000 Zn
0.2500 0.2500 0.2500 Lu
0.7500 0.7500 0.7500 Tb
0.5000 0.5000 0.5000 In
```

## Properties
Volume, Å³ per cell: 97
Energy of formation, kJ/mol of formula units: -146

[8]
# TbLuZrIn

Crystalline TbLuZrIn at its relaxed geometry (GGA-PBE, the Alexandria database).

Structure (POSCAR):
```
TbLuZrIn
1.0
5.3038 0.0000 0.0000
2.6519 4.5932 0.0000
2.6519 1.5311 4.3305
Lu Tb Zr In
1 1 1 1
direct
0.2500 0.2500 0.2500 Lu
0.7500 0.7500 0.7500 Tb
0.5000 0.5000 0.5000 Zr
0.0000 0.0000 0.0000 In
```

## Properties
Volume, Å³ per cell: 105
Energy of formation, kJ/mol of formula units: -25